A relaxed structure of HgOsAu3. Source: Alexandria via LeMat-Bulk, functional GGA-PBE.

* energy above the lowest structure with this stoichiometry: 720.3 meV per atom
* calculated total energy: -2.411 eV per atom
* energy of formation from the pure elements: 1.86 eV/atom
* magnetic moment: 0.706 μB per atom
* DOS(E_F): 5.9 states/eV/cell
* calculated volume: 26.84 A^3/atom

abc: 5.120 5.120 5.120
angles: 90.00 90.00 90.00
Each line ends with the local moment (μB).
Fractional positions:
Au (0.500, 0.000, 0.000)  0.04
Au (0.000, 0.500, 0.000)  0.01
Au (0.000, 0.000, 0.500)  0.05
Os (0.500, 0.500, 0.500)  3.03
Hg (0.000, 0.000, 0.000)  0.00

=====

A relaxed structure of HgOs2Au. Source: Alexandria via LeMat-Bulk, functional GGA-PBE.

* calculated total energy: -5.644 eV per atom
* energy of formation from the pure elements: 0.87 eV/atom
* magnetic moment: 0.000 μB per atom
* DOS(E_F): 3.6 states/eV/cell
* calculated volume: 17.09 A^3/atom

abc: 4.967 2.854 4.827
angles: 92.87 90.00 90.00
Fractional positions:
Hg (0.500, 0.750, 0.750)
Os (0.000, 0.964, 0.020)
Os (0.000, 0.536, 0.480)
Au (0.500, 0.250, 0.250)

=====

A relaxed structure of Hg2OsAu. Source: Alexandria via LeMat-Bulk, functional GGA-PBE.

* energy above the lowest structure with this stoichiometry: 96.7 meV per atom
* calculated total energy: -3.091 eV per atom
* energy of formation from the pure elements: 0.69 eV/atom
* magnetic moment: 0.000 μB per atom
* DOS(E_F): 2.7 states/eV/cell
* calculated volume: 18.39 A^3/atom

abc: 4.252 4.240 4.080
angles: 90.00 90.00 90.00
Fractional positions:
Hg (0.000, 0.000, 0.000)
Hg (0.500, 0.500, 0.000)
Au (0.000, 0.500, 0.500)
Os (0.500, 0.000, 0.500)

=====

A relaxed structure of HgOs2Au. Source: Alexandria via LeMat-Bulk, functional GGA-PBE.

* calculated total energy: -5.505 eV per atom
* energy of formation from the pure elements: 1.00 eV/atom
* magnetic moment: 0.000 μB per atom
* DOS(E_F): 4.2 states/eV/cell
* calculated volume: 17.26 A^3/atom

abc: 2.783 4.299 5.771
angles: 90.00 90.00 90.00
Fractional positions:
Os (0.000, 0.000, 0.038)
Os (0.000, 0.000, 0.462)
Au (0.500, 0.500, 0.250)
Hg (0.500, 0.500, 0.750)

=====

A relaxed structure of HgOs2Au. Source: Alexandria via LeMat-Bulk, functional GGA-PBE.

* calculated total energy: -5.684 eV per atom
* energy of formation from the pure elements: 0.83 eV/atom
* magnetic moment: 0.000 μB per atom
* DOS(E_F): 2.9 states/eV/cell
* calculated volume: 16.53 A^3/atom

abc: 9.566 9.566 9.566
angles: 17.11 17.11 17.11
Fractional positions:
Au (0.250, 0.250, 0.250)
Os (0.998, 0.998, 0.998)
Os (0.502, 0.502, 0.502)
Hg (0.750, 0.750, 0.750)

=====

A relaxed structure of HgOs2Au. Source: Alexandria via LeMat-Bulk, functional GGA-PBE.

* calculated total energy: -5.470 eV per atom
* energy of formation from the pure elements: 1.04 eV/atom
* magnetic moment: 0.001 μB per atom
* DOS(E_F): 5.8 states/eV/cell
* calculated volume: 16.67 A^3/atom

abc: 5.055 5.055 2.847
angles: 90.00 90.00 113.55
Fractional positions:
Hg (0.000, 0.500, 0.500)
Os (0.500, 0.500, 0.000)
Os (0.000, 0.000, 0.000)
Au (0.500, 0.000, 0.500)

=====

A relaxed structure of Hg2OsAu. Source: Alexandria via LeMat-Bulk, functional GGA-PBE.

* energy above the lowest structure with this stoichiometry: 31.0 meV per atom
* calculated total energy: -3.157 eV per atom
* energy of formation from the pure elements: 0.62 eV/atom
* magnetic moment: 0.000 μB per atom
* DOS(E_F): 3.2 states/eV/cell
* calculated volume: 21.21 A^3/atom

abc: 6.881 6.881 6.881
angles: 156.41 139.25 47.62
Fractional positions:
Au (0.309, 0.809, 0.500)
Hg (0.697, 0.197, 0.500)
Hg (0.997, 0.997, 0.000)
Os (0.497, 0.497, 0.000)

=====

A relaxed structure of HgOs2Au. Source: Alexandria via LeMat-Bulk, functional GGA-PBE.

* calculated total energy: -5.594 eV per atom
* energy of formation from the pure elements: 0.92 eV/atom
* magnetic moment: 0.000 μB per atom
* DOS(E_F): 4.3 states/eV/cell
* calculated volume: 16.88 A^3/atom

abc: 2.807 2.807 9.918
angles: 90.00 90.00 120.20
Fractional positions:
Os (0.000, 0.000, 0.005)
Os (0.000, 0.000, 0.495)
Hg (0.500, 0.500, 0.750)
Au (0.500, 0.500, 0.250)